The following is a PBE+U calculation of a geometry-optimized Li2V3CrO8 structure, from Alexandria.

a = 5.2995 Å, b = 5.9175 Å, c = 10.6254 Å
α = 98.83°, β = 101.53°, γ = 107.40°
Closest atoms and distances in Å follow each position.
Element x y z (fractional)
1 Li 0.0000 0.0000 0.0000  6 O 2.16-2.23
2 Li 0.0000 0.5000 0.0000  6 O 2.09-2.27
3 Li 0.4843 0.2429 0.4915  4 O 2.06-2.17
4 Li 0.5157 0.7571 0.5085  4 O 2.06-2.17
5 V 0.0946 0.4273 0.6295  6 O 2.01-2.08
6 V 0.1128 0.9343 0.6289  6 O 1.89-2.05
7 V 0.3962 0.8174 0.8690  6 O 1.92-2.08
8 V 0.6038 0.1826 0.1310  6 O 1.92-2.08
9 V 0.8872 0.0657 0.3711  6 O 1.89-2.05
10 V 0.9054 0.5727 0.3705  6 O 2.01-2.08
11 Cr 0.3917 0.3160 0.8741  6 O 2.01-2.07
12 Cr 0.6083 0.6840 0.1259  6 O 2.01-2.07
13 O 0.1207 0.9748 0.8176  2 V 1.97-1.99, 1 Cr 2.01, 1 Li 2.16
14 O 0.1313 0.4966 0.8270  2 V 1.92-2.03, 1 Cr 2.02, 1 Li 2.09
15 O 0.1587 0.3882 0.4421  3 V 1.94-2.08, 1 Li 2.16
16 O 0.1693 0.9135 0.4435  3 V 2.01-2.05, 1 Li 2.06
17 O 0.3363 0.3416 0.0567  2 Cr 2.01-2.02, 1 V 2.02, 1 Li 2.16
18 O 0.3434 0.8604 0.0594  2 V 1.92-2.08, 1 Cr 2.07
19 O 0.3709 0.2533 0.6774  2 V 1.89-2.06, 1 Cr 2.04
20 O 0.3808 0.7685 0.6812  3 V 1.95-2.04, 1 Li 2.10
21 O 0.6192 0.2315 0.3188  3 V 1.95-2.04, 1 Li 2.10
22 O 0.6291 0.7467 0.3226  2 V 1.89-2.06, 1 Cr 2.04
23 O 0.6566 0.1396 0.9406  2 V 1.92-2.08, 1 Cr 2.07
24 O 0.6637 0.6584 0.9433  2 Cr 2.01-2.02, 1 V 2.02, 1 Li 2.16
25 O 0.8307 0.0865 0.5565  3 V 2.01-2.05, 1 Li 2.06
26 O 0.8413 0.6118 0.5579  3 V 1.94-2.08, 1 Li 2.16
27 O 0.8687 0.5034 0.1730  2 V 1.92-2.03, 1 Cr 2.02, 1 Li 2.09
28 O 0.8793 0.0252 0.1824  2 V 1.97-1.99, 1 Cr 2.01, 1 Li 2.16

energy: -7.257 eV/atom